This record from Alexandria describes a relaxed BeReHg crystal. The functional is PBE.

The energy above the most stable polymorph in this dataset comes out at 0.336 eV per atom. The value obtained for the calculated volume is 15.47 Å³ per atom. The calculation puts the calculated formation energy at 0.918 eV per atom. For the density of states at the Fermi level, the calculation gives 3.15 states/eV/f.u.

It has space group F-43m (No. 216), with a = 5.705 Å, b = 5.705 Å, c = 5.705 Å, α = 90.00°, β = 90.00° and γ = 90.00°. The distinct sites, in fractional coordinates, are Be at (0.000, 0.000, 0.000), Re at (0.250, 0.250, 0.750) and Hg at (0.250, 0.250, 0.250).